# CsNa3Pb GGA-PBEsol relaxed
# - Formation energy: -41 kJ/mol of formula units
# - Crystal system: cubic
# - Theoretical density: 3.04 g cm⁻³
data_CsNa3Pb
_symmetry_space_group_name_H-M 'P m -3 m'
_symmetry_Int_Tables_number 221
_symmetry_space_group_name_Hall '-P 4 2 3'
_cell_length_a 6.069
_cell_length_b 6.069
_cell_length_c 6.069
_cell_angle_alpha 90.00
_cell_angle_beta 90.00
_cell_angle_gamma 90.00
loop_
_atom_site_label
_atom_site_fract_x
_atom_site_fract_y
_atom_site_fract_z
Cs1 0.000 0.000 0.000
Na1 0.000 0.500 0.500
Pb1 0.500 0.500 0.500

# Zr2WC GGA-PBEsol relaxed
# - Formation energy: 113 kJ/mol of formula units
# - Crystal system: tetragonal
# - Theoretical density: 10.29 g cm⁻³
data_Zr2WC
_symmetry_space_group_name_H-M 'P 4/m m m'
_symmetry_Int_Tables_number 123
_symmetry_space_group_name_Hall '-P 4 2'
_cell_length_a 3.180
_cell_length_b 3.180
_cell_length_c 6.035
_cell_angle_alpha 90.00
_cell_angle_beta 90.00
_cell_angle_gamma 90.00
loop_
_atom_site_label
_atom_site_fract_x
_atom_site_fract_y
_atom_site_fract_z
Zr1 0.000 0.000 0.216
W1 0.500 0.500 0.500
C1 0.500 0.500 0.000